# InSbIr2F | Alexandria via LeMat-Bulk | PBE-GGA | optimized geometry
data_InSbIr2F
_cell_length_a 4.957
_cell_length_b 4.957
_cell_length_c 4.154
_cell_angle_alpha 90.00
_cell_angle_beta 90.00
_cell_angle_gamma 90.00
_symmetry_space_group_name_H-M 'P 1'
_symmetry_Int_Tables_number 1
_symmetry_space_group_name_Hall 'P 1'
loop_
_atom_site_label
_atom_site_fract_x
_atom_site_fract_y
_atom_site_fract_z
In1 0.000 0.000 0.000
Sb1 0.500 0.500 0.500
Ir1 0.000 0.500 0.500
Ir2 0.500 0.000 0.500
F1 0.500 0.500 0.000
# - SG: P4/mmm (123)
# - ρ: 10.410 g cm⁻³
# - ΔE_f (raw): 0.19 eV per atom

# InSnIr2F | Alexandria via LeMat-Bulk | PBE-GGA | optimized geometry
data_InSnIr2F
_cell_length_a 4.925
_cell_length_b 4.925
_cell_length_c 6.126
_cell_angle_alpha 90.00
_cell_angle_beta 90.00
_cell_angle_gamma 90.00
_symmetry_space_group_name_H-M 'P 1'
_symmetry_Int_Tables_number 1
_symmetry_space_group_name_Hall 'P 1'
loop_
_atom_site_label
_atom_site_fract_x
_atom_site_fract_y
_atom_site_fract_z
In1 0.000 0.000 0.000
Sn1 0.000 0.000 0.500
Ir1 0.000 0.500 0.500
Ir2 0.500 0.000 0.500
F1 0.500 0.500 0.000
# - SG: P4/mmm (123)
# - ρ: 7.120 g cm⁻³
# - ΔE_f (raw): 1.17 eV per atom

# ZnInIr2F | Alexandria via LeMat-Bulk | PBE-GGA | optimized geometry
data_ZnInIr2F
_cell_length_a 4.604
_cell_length_b 4.604
_cell_length_c 5.076
_cell_angle_alpha 90.00
_cell_angle_beta 90.00
_cell_angle_gamma 90.00
_symmetry_space_group_name_H-M 'P 1'
_symmetry_Int_Tables_number 1
_symmetry_space_group_name_Hall 'P 1'
loop_
_atom_site_label
_atom_site_fract_x
_atom_site_fract_y
_atom_site_fract_z
Zn1 0.000 0.000 0.000
In1 0.000 0.000 0.500
Ir1 0.000 0.500 0.000
Ir2 0.500 0.000 0.000
F1 0.500 0.500 0.500
# - SG: P4/mmm (123)
# - Offset from the most stable computed form: 61.6 kJ per mole of atoms
# - ρ: 9.007 g cm⁻³
# - ΔE_f (raw): 1.08 eV per atom